Material: Tm3In2Hg
Method: DFT, PBE-GGA
State: optimized geometry

Cell and atoms, written as CIF:
```
data_Tm3In2Hg
_cell_length_a 3.588
_cell_length_b 3.588
_cell_length_c 11.846
_cell_angle_alpha 90.00
_cell_angle_beta 90.00
_cell_angle_gamma 90.00
_symmetry_space_group_name_H-M 'P 1'
_symmetry_Int_Tables_number 1
loop_
_symmetry_equiv_pos_as_xyz
'x,y,z'
loop_
_atom_site_label
_atom_site_type_symbol
_atom_site_fract_x
_atom_site_fract_y
_atom_site_fract_z
Tm1 Tm 0.000 0.000 0.660
Tm2 Tm 0.000 0.000 0.340
Tm3 Tm 0.000 0.000 0.000
In1 In 0.500 0.500 0.829
In2 In 0.500 0.500 0.171
Hg1 Hg 0.500 0.500 0.500
```

The crystal system is tetragonal.


Material: Tm2In5Hg12
Method: DFT, PBE-GGA
State: optimized geometry

Cell and atoms, written as CIF:
```
data_Tm2In5Hg12
_cell_length_a 4.951
_cell_length_b 11.619
_cell_length_c 11.619
_cell_angle_alpha 48.89
_cell_angle_beta 77.19
_cell_angle_gamma 77.19
_symmetry_space_group_name_H-M 'P 1'
_symmetry_Int_Tables_number 1
loop_
_symmetry_equiv_pos_as_xyz
'x,y,z'
loop_
_atom_site_label
_atom_site_type_symbol
_atom_site_fract_x
_atom_site_fract_y
_atom_site_fract_z
In1 In 0.702 0.800 0.800
In2 In 0.298 0.200 0.200
In3 In 0.700 0.299 0.299
In4 In 0.500 0.000 0.000
In5 In 0.300 0.701 0.701
Hg1 Hg 0.923 0.579 0.579
Hg2 Hg 0.111 0.891 0.891
Hg3 Hg 0.196 0.073 0.540
Hg4 Hg 0.804 0.460 0.927
Hg5 Hg 0.889 0.109 0.109
Hg6 Hg 0.410 0.807 0.370
Hg7 Hg 0.196 0.540 0.073
Hg8 Hg 0.590 0.630 0.193
Hg9 Hg 0.590 0.193 0.630
Hg10 Hg 0.804 0.927 0.460
Hg11 Hg 0.077 0.421 0.421
Hg12 Hg 0.410 0.370 0.807
Tm1 Tm 0.000 0.782 0.218
Tm2 Tm 0.000 0.218 0.782
```

The crystal system is monoclinic. The value obtained for the distance to the lowest polymorph of the same formula is 0.0000 eV per atom.


Material: Tm3InHg
Method: DFT, PBE-GGA
State: optimized geometry

Cell and atoms, written as CIF:
```
data_Tm3InHg
_cell_length_a 5.071
_cell_length_b 5.068
_cell_length_c 10.650
_cell_angle_alpha 90.00
_cell_angle_beta 76.23
_cell_angle_gamma 90.00
_symmetry_space_group_name_H-M 'P 1'
_symmetry_Int_Tables_number 1
loop_
_symmetry_equiv_pos_as_xyz
'x,y,z'
loop_
_atom_site_label
_atom_site_type_symbol
_atom_site_fract_x
_atom_site_fract_y
_atom_site_fract_z
Tm1 Tm 0.884 0.750 0.881
Tm2 Tm 0.382 0.250 0.884
Tm3 Tm 0.266 0.750 0.116
Tm4 Tm 0.075 0.750 0.499
Tm5 Tm 0.574 0.250 0.501
Tm6 Tm 0.765 0.250 0.119
In1 In 0.169 0.250 0.311
In2 In 0.480 0.750 0.689
Hg1 Hg 0.670 0.750 0.307
Hg2 Hg 0.978 0.250 0.693
```

The crystal system is orthorhombic. The value obtained for the distance to the lowest polymorph of the same formula is 0.0000 eV per atom.


Formation energy values (in eV per atom) by entry order: -0.440 -0.099 -0.348.